1.
Here is a geometry-optimized YSi2TcMo structure from Alexandria. Energies are from GGA-PBE.

Calculated values
Magnetization   0.044 μB per atom
Crystal system   tetragonal
Space group   No. 119
E above lowest polymorph   0 kJ/mol of formula units
Formation energy without anion corrections   -0.55 eV/atom
Calculated density   6.5 Mg/m³

Lattice parameters (Å, degrees): 4.0242 4.0242 6.0922 109.29 109.29 90.00
Last column: magnetic moment on the atom in μB.
Element x y z (fractional)
Y  0.0000  0.0000  0.0000  0.01
Tc  0.7500  0.2500  0.5000  -0.01
Si  0.6129  0.6129  0.2258  0.00
Si  0.3871  0.3871  0.7742  0.00
Mo  0.2500  0.7500  0.5000  0.20

=====

2.
Here is a geometry-optimized La5Dy2Sc2 structure from Alexandria. Energies are from GGA-PBE.

Calculated values
Magnetization   0.000 μB per atom
Crystal system   monoclinic
Space group   No. 12
Calculated density   6.2 Mg/m³
Energy relative to the elements   0.107 eV/atom

Lattice parameters (Å, degrees): 3.4933 11.8628 10.1951 45.42 80.14 81.53
Element x y z (fractional)
Dy  0.0548  0.3408  0.5495
La  0.2183  0.3541  0.2093
La  0.3376  0.9896  0.3353
Sc  0.4054  0.3492  0.8401
Dy  0.9452  0.6592  0.4505
La  0.0000  0.0000  0.0000
Sc  0.5946  0.6508  0.1599
La  0.7817  0.6459  0.7907
La  0.6624  0.0104  0.6647

=====

3.
Here is a geometry-optimized Ta2TeO8 structure from Alexandria. Energies are from GGA-PBE.

Calculated values
Magnetization   0.000 μB per atom
Crystal system   monoclinic
Space group   No. 15
E above lowest polymorph   173 kJ/mol of formula units
Formation energy without anion corrections   -1.86 eV/atom
Calculated density   6.5 Mg/m³

Lattice parameters (Å, degrees): 10.3847 10.3847 5.2464 87.73 87.73 34.19
Element x y z (fractional)
O  0.7937  0.0909  0.4172
O  0.0788  0.2482  0.4390
Te  0.6498  0.3502  0.2500
O  0.6572  0.4482  0.5732
O  0.1964  0.4316  0.1351
Te  0.3502  0.6498  0.7500
O  0.8036  0.5684  0.8649
O  0.4316  0.1964  0.6351
Ta  0.9584  0.3078  0.7714
O  0.0909  0.7937  0.9172
O  0.5518  0.3428  0.9268
O  0.5684  0.8036  0.3649
Ta  0.3078  0.9584  0.2714
O  0.9212  0.7518  0.5610
O  0.4482  0.6572  0.0732
O  0.3428  0.5518  0.4268
O  0.2482  0.0788  0.9390
O  0.9091  0.2063  0.0828
O  0.7518  0.9212  0.0610
O  0.2063  0.9091  0.5828
Ta  0.6922  0.0416  0.7286
Ta  0.0416  0.6922  0.2286

=====

4.
Here is a geometry-optimized LiAl2Pd2 structure from Alexandria. Energies are from GGA-PBE.

Calculated values
Magnetization   0.000 μB per atom
Crystal system   tetragonal
Space group   No. 139
E above lowest polymorph   133 kJ/mol of formula units
Calculated density   5.1 Mg/m³
Energy relative to the elements   -0.486 eV/atom

Lattice parameters (Å, degrees): 4.0705 4.0705 6.1365 70.63 70.63 90.00
Element x y z (fractional)
Pd  0.7500  0.2500  0.5000
Pd  0.2500  0.7500  0.5000
Al  0.6193  0.6193  0.7614
Al  0.3807  0.3807  0.2386
Li  0.0000  0.0000  0.0000